! Ca3NiHg (SCAN, single point on PBEsol structure); values from VASP
&SYSTEM
  ibrav = 0, nat = 5, ntyp = 3
/
ATOMIC_SPECIES
Ni 58.69 Ni.upf
Ca 40.08 Ca.upf
Hg 200.59 Hg.upf
CELL_PARAMETERS angstrom
-4.711 2.419 -1.922
-2.947 -4.570 1.472
-0.927 2.237 5.087
ATOMIC_POSITIONS crystal
Ni 0.500 0.500 0.500
Ca 0.000 0.000 0.500
Ca 0.000 0.500 0.000
Ca 0.500 0.000 0.000
Hg 0.000 0.000 0.000
! M_tot (μB per atom): 0.14
! Energy relative to the elements (eV/atom): 0.39
! Density of states at the Fermi level (states/eV/f.u.): 8.546
! Crystal system: cubic